Record 1
First-principles (PBE) data for Ce2InGePd6 after structural relaxation, as listed in Alexandria via LeMat-Bulk.

Unit cell a=6.426 b=6.426 c=7.914 alpha=125.01 beta=125.01 gamma=51.17
Positions (direct):
Ce1 0.000 0.000 0.244
Ce2 0.000 0.000 0.756
In1 0.500 0.500 0.500
Ge1 0.500 0.500 0.000
Pd1 0.013 0.507 0.701
Pd2 0.313 0.313 0.061
Pd3 0.493 0.987 0.299
Pd4 0.507 0.013 0.701
Pd5 0.687 0.687 0.939
Pd6 0.987 0.493 0.299

Output
size of the total moment: 0.145 μB/atom
ΔE_f: -0.5968 eV per atom
space group: C2/m, No. 12

---

Record 2
First-principles (PBE) data for ErMnFeGe3 after structural relaxation, as listed in Alexandria via LeMat-Bulk.

Unit cell a=6.471 b=6.471 c=5.570 alpha=90.00 beta=90.00 gamma=109.21
Positions (direct):
Er1 0.249 0.751 0.750
Er2 0.751 0.249 0.250
Mn1 0.456 0.544 0.250
Mn2 0.544 0.456 0.750
Fe1 0.036 0.964 0.250
Fe2 0.964 0.036 0.750
Ge1 0.246 0.754 0.250
Ge2 0.250 0.250 0.000
Ge3 0.250 0.250 0.500
Ge4 0.750 0.750 0.000
Ge5 0.750 0.750 0.500
Ge6 0.754 0.246 0.750

Output
size of the total moment: 0.028 μB/atom
ΔE_f: -0.1084 eV per atom
space group: Cmcm, No. 63

---

Record 3
First-principles (PBE) data for ScTc2Se after structural relaxation, as listed in Alexandria via LeMat-Bulk.

Unit cell a=3.102 b=3.102 c=7.008 alpha=90.00 beta=90.00 gamma=90.00
Positions (direct):
Sc1 0.000 0.000 0.000
Tc1 0.000 0.000 0.524
Tc2 0.500 0.500 0.725
Se1 0.500 0.500 0.264

Output
size of the total moment: 0.000 μB/atom
space group: P4mm, No. 99
formation energy without anion corrections: -0.219 eV/atom

---

Record 4
First-principles (PBE) data for Tm4InAg2Ir after structural relaxation, as listed in Alexandria via LeMat-Bulk.

Unit cell a=8.723 b=8.723 c=8.723 alpha=33.62 beta=33.62 gamma=33.62
Positions (direct):
Tm1 0.114 0.114 0.114
Tm2 0.367 0.367 0.367
Tm3 0.633 0.633 0.633
Tm4 0.886 0.886 0.886
In1 0.500 0.500 0.500
Ag1 0.241 0.241 0.241
Ag2 0.759 0.759 0.759
Ir1 0.000 0.000 0.000

Output
size of the total moment: 0.000 μB/atom
ΔE_f: -0.5669 eV per atom
space group: R-3m, No. 166

---

Record 5
First-principles (PBE) data for Li2Sm3Ir7 after structural relaxation, as listed in Alexandria via LeMat-Bulk.

Unit cell a=9.007 b=9.007 c=9.007 alpha=34.80 beta=34.80 gamma=34.80
Positions (direct):
Li1 0.164 0.164 0.164
Li2 0.836 0.836 0.836
Sm1 0.359 0.359 0.359
Sm2 0.500 0.500 0.500
Sm3 0.641 0.641 0.641
Ir1 0.000 0.000 0.000
Ir2 0.085 0.085 0.577
Ir3 0.085 0.577 0.085
Ir4 0.423 0.915 0.915
Ir5 0.577 0.085 0.085
Ir6 0.915 0.423 0.915
Ir7 0.915 0.915 0.423

Output
size of the total moment: 0.000 μB/atom
ΔE_f: -0.5496 eV per atom
space group: R-3m, No. 166

---

Record 6
First-principles (PBE) data for Dy6Ge2Te3Se after structural relaxation, as listed in Alexandria via LeMat-Bulk.

Unit cell a=9.566 b=9.566 c=8.586 alpha=104.25 beta=104.25 gamma=25.50
Positions (direct):
Dy1 0.010 0.010 0.241
Dy2 0.327 0.327 0.435
Dy3 0.336 0.336 0.894
Dy4 0.664 0.664 0.106
Dy5 0.673 0.673 0.565
Dy6 0.990 0.990 0.759
Ge1 0.167 0.167 0.332
Ge2 0.833 0.833 0.668
Te1 0.164 0.164 0.834
Te2 0.500 0.500 0.500
Te3 0.836 0.836 0.166
Se1 0.500 0.500 0.000

Output
size of the total moment: 0.000 μB/atom
space group: C2/m, No. 12
formation energy without anion corrections: -1.340 eV/atom

---

no.,DFT total energy (eV per atom)
1,-5.635
2,-6.116
3,-7.856
4,-4.965
5,-7.217
6,-5.487